Below is a relaxed KCo2Cl crystal, with properties calculated at the PBE level.

Output
* Fermi-level density of states: 5.97 states/eV/cell
* E above lowest polymorph: 801 meV per atom

```
data_KCo2Cl
_chemical_formula_sum 'K1 Co2 Cl1'
_cell_length_a 9.3450
_cell_length_b 9.3450
_cell_length_c 9.3450
_cell_angle_alpha 18.85
_cell_angle_beta 18.85
_cell_angle_gamma 18.85
_space_group_name_H-M_alt 'P 1'
_space_group_IT_number 1
loop_
_space_group_symop_operation_xyz
'x,y,z'
loop_
_atom_site_label
_atom_site_fract_x
_atom_site_fract_y
_atom_site_fract_z
_atom_site_occupancy
Cl1 0.7500 0.7500 0.7500 1
Co1 0.4798 0.4798 0.4798 1
Co2 0.0202 0.0202 0.0202 1
K1 0.2500 0.2500 0.2500 1
```

Below is a relaxed K2CoCl crystal, with properties calculated at the PBE level.

Output
* E above lowest polymorph: 58 meV per atom

```
data_K2CoCl
_chemical_formula_sum 'K2 Co1 Cl1'
_cell_length_a 4.6761
_cell_length_b 4.6759
_cell_length_c 6.6792
_cell_angle_alpha 90.00
_cell_angle_beta 90.00
_cell_angle_gamma 90.00
_space_group_name_H-M_alt 'P 1'
_space_group_IT_number 1
loop_
_space_group_symop_operation_xyz
'x,y,z'
loop_
_atom_site_label
_atom_site_fract_x
_atom_site_fract_y
_atom_site_fract_z
_atom_site_occupancy
K1 0.5000 0.5000 0.3748 1
K2 0.0000 0.0000 0.8755 1
Cl1 0.0000 0.0000 0.3751 1
Co1 0.5000 0.5000 0.8747 1
```

Below is a relaxed KCo2Cl crystal, with properties calculated at the PBE level.

Output
* Fermi-level density of states: 9.66 states/eV/cell
* E above lowest polymorph: 1246 meV per atom

```
data_KCo2Cl
_chemical_formula_sum 'K1 Co2 Cl1'
_cell_length_a 4.7409
_cell_length_b 4.7409
_cell_length_c 4.7409
_cell_angle_alpha 60.00
_cell_angle_beta 60.00
_cell_angle_gamma 60.00
_space_group_name_H-M_alt 'P 1'
_space_group_IT_number 1
loop_
_space_group_symop_operation_xyz
'x,y,z'
loop_
_atom_site_label
_atom_site_fract_x
_atom_site_fract_y
_atom_site_fract_z
_atom_site_occupancy
K1 0.5000 0.5000 0.5000 1
Co1 0.7500 0.7500 0.7500 1
Co2 0.2500 0.2500 0.2500 1
Cl1 0.0000 0.0000 0.0000 1
```

Below is a relaxed KCo2Cl crystal, with properties calculated at the PBE level.

Output
* Fermi-level density of states: 4.90 states/eV/cell
* E above lowest polymorph: 776 meV per atom

```
data_KCo2Cl
_chemical_formula_sum 'K1 Co2 Cl1'
_cell_length_a 4.8125
_cell_length_b 4.8125
_cell_length_c 4.8125
_cell_angle_alpha 60.00
_cell_angle_beta 60.00
_cell_angle_gamma 60.00
_space_group_name_H-M_alt 'P 1'
_space_group_IT_number 1
loop_
_space_group_symop_operation_xyz
'x,y,z'
loop_
_atom_site_label
_atom_site_fract_x
_atom_site_fract_y
_atom_site_fract_z
_atom_site_occupancy
K1 0.7500 0.7500 0.7500 1
Cl1 0.5000 0.5000 0.5000 1
Co1 0.2500 0.2500 0.2500 1
Co2 0.0000 0.0000 0.0000 1
```

Below is a relaxed KCoCl2 crystal, with properties calculated at the PBE level.

Output
* Fermi-level density of states: 3.34 states/eV/cell
* E above lowest polymorph: 393 meV per atom

```
data_KCoCl2
_chemical_formula_sum 'K1 Co1 Cl2'
_cell_length_a 5.1502
_cell_length_b 5.1502
_cell_length_c 3.5026
_cell_angle_alpha 80.76
_cell_angle_beta 80.76
_cell_angle_gamma 89.31
_space_group_name_H-M_alt 'P 1'
_space_group_IT_number 1
loop_
_space_group_symop_operation_xyz
'x,y,z'
loop_
_atom_site_label
_atom_site_fract_x
_atom_site_fract_y
_atom_site_fract_z
_atom_site_occupancy
K1 0.0000 0.5000 0.5000 1
Co1 0.5000 0.0000 0.5000 1
Cl1 0.5000 0.5000 0.0000 1
Cl2 0.0000 0.0000 0.0000 1
```

Below is a relaxed KCoCl6 crystal, with properties calculated at the PBE level.

Output
* Fermi-level density of states: 8.48 states/eV/cell

```
data_KCoCl6
_chemical_formula_sum 'K1 Co1 Cl6'
_cell_length_a 5.9633
_cell_length_b 5.9633
_cell_length_c 5.9633
_cell_angle_alpha 99.88
_cell_angle_beta 99.88
_cell_angle_gamma 99.88
_space_group_name_H-M_alt 'P 1'
_space_group_IT_number 1
loop_
_space_group_symop_operation_xyz
'x,y,z'
loop_
_atom_site_label
_atom_site_fract_x
_atom_site_fract_y
_atom_site_fract_z
_atom_site_occupancy
Cl1 0.7703 0.4275 0.7703 1
Cl2 0.5725 0.2297 0.2297 1
Cl3 0.7703 0.7703 0.4275 1
Cl4 0.4275 0.7703 0.7703 1
Cl5 0.2297 0.5725 0.2297 1
Cl6 0.2297 0.2297 0.5725 1
Co1 0.5000 0.5000 0.5000 1
K1 0.0000 0.0000 0.0000 1
```

Below is a relaxed K2Co2Cl7 crystal, with properties calculated at the PBE level.

Output
* Fermi-level density of states: 15.91 states/eV/cell

```
data_K2Co2Cl7
_chemical_formula_sum 'K4 Co4 Cl14'
_cell_length_a 6.3462
_cell_length_b 7.8502
_cell_length_c 15.2935
_cell_angle_alpha 90.00
_cell_angle_beta 90.00
_cell_angle_gamma 96.34
_space_group_name_H-M_alt 'P 1'
_space_group_IT_number 1
loop_
_space_group_symop_operation_xyz
'x,y,z'
loop_
_atom_site_label
_atom_site_fract_x
_atom_site_fract_y
_atom_site_fract_z
_atom_site_occupancy
Cl1 0.2795 0.1340 0.0494 1
Cl2 0.1078 0.7418 0.7990 1
Cl3 0.2795 0.6340 0.4506 1
Cl4 0.6131 0.4691 0.8265 1
Cl5 0.7205 0.8660 0.9506 1
Cl6 0.1078 0.2418 0.7010 1
Cl7 0.7205 0.3660 0.5494 1
Cl8 0.3869 0.5309 0.1735 1
Cl9 0.0000 0.5000 0.0000 1
Cl10 0.8922 0.7582 0.2990 1
Cl11 0.6131 0.9691 0.6735 1
Cl12 0.0000 0.0000 0.5000 1
Cl13 0.8922 0.2582 0.2010 1
Cl14 0.3869 0.0309 0.3265 1
K1 0.6063 0.9137 0.1506 1
K2 0.3937 0.5863 0.6506 1
K3 0.3937 0.0863 0.8494 1
K4 0.6063 0.4137 0.3494 1
Co1 0.1429 0.3541 0.1085 1
Co2 0.8571 0.6459 0.8915 1
Co3 0.8571 0.1459 0.6085 1
Co4 0.1429 0.8541 0.3915 1
```

Below is a relaxed KCo2Cl crystal, with properties calculated at the PBE level.

Output
* Fermi-level density of states: 3.56 states/eV/cell
* E above lowest polymorph: 0 meV per atom

```
data_KCo2Cl
_chemical_formula_sum 'K1 Co2 Cl1'
_cell_length_a 3.1426
_cell_length_b 3.2894
_cell_length_c 7.6750
_cell_angle_alpha 77.59
_cell_angle_beta 90.00
_cell_angle_gamma 90.00
_space_group_name_H-M_alt 'P 1'
_space_group_IT_number 1
loop_
_space_group_symop_operation_xyz
'x,y,z'
loop_
_atom_site_label
_atom_site_fract_x
_atom_site_fract_y
_atom_site_fract_z
_atom_site_occupancy
K1 0.0000 0.5559 0.5139 1
Co1 0.0000 0.7891 0.0467 1
Co2 0.5000 0.2329 0.1590 1
Cl1 0.5000 0.9221 0.7803 1
```

Across the entries above, E takes the values -3.4372; -2.9292; -2.9922; -3.4620; -3.4362; -3.0630; -3.7355; -4.2382 eV per atom, respectively.
Across the entries above, magnetic moment takes the values 0.863; 0.500; 0.781; 1.003; 0.529; 0.255; 0.636; 0.941 μB/atom, respectively.
Across the entries above, E_form (uncorrected) takes the values 3.4; -0.6; 5.2; 3.3; -1.8; -5.2; -11.8; 0.2 eV per formula unit, respectively.